Record 1
Compound: Tb2Ho2Bi5
Source: the Alexandria database
Functional: PBE-GGA
Structure: optimized geometry

The density of states at the Fermi level comes out at 0.569 states/eV per atom. The value obtained for the density is 10.14 g/cm3. The formation energy comes out at -633 meV/atom.

The space group is Cmce (No. 64) and the conventional cell measures 15.9706, 8.2060 and 8.4596 Å, with angles of 90.00, 90.00 and 90.00 degrees. The inequivalent atoms are Tb at (0.1922, 0.0000, 0.0000), Ho at (0.0000, 0.1541, 0.3415), Bi at (0.0000, 0.0000, 0.0000) and Bi at (0.1407, 0.1522, 0.6516).

---

Record 2
Compound: Tb5Sc
Source: the Alexandria database
Functional: PBE-GGA
Structure: optimized geometry

The density of states at the Fermi level comes out at 1.400 states/eV per atom. The value obtained for the density is 7.59 g/cm3. The formation energy comes out at 32 meV/atom.

The space group is Cmmm (No. 65) and the conventional cell measures 4.9678, 14.8677 and 4.9718 Å, with angles of 90.00, 90.00 and 90.00 degrees. The inequivalent atoms are Tb at (0.0000, 0.0000, 0.0000), Tb at (0.0000, 0.1639, 0.5000), Tb at (0.0000, 0.3351, 0.0000) and Sc at (0.0000, 0.5000, 0.5000).